i) Tb3Pr4Ho4, optimized geometry, DFT PBE; volume = 363.8 Å³ per cell; spin magnetization = 0.00 μB per atom
1.0
3.5957 -0.0032 -0.3095
-0.0495 5.0417 -0.6313
-0.1212 -0.0427 20.0836
Tb Ho Pr
3 4 4
Direct
0.3643 0.3644 0.7276
0.6356 0.6356 0.2724
0.0000 0.0000 0.0000
0.2717 0.2721 0.5443
0.0928 0.0902 0.1835
0.7282 0.7280 0.4557
0.9073 0.9098 0.8165
0.1816 0.1825 0.3646
0.5462 0.5449 0.0919
0.4539 0.4551 0.9081
0.8184 0.8175 0.6354

---

ii) Tb3Pr4Ho4, optimized geometry, DFT PBE; volume = 371.0 Å³ per cell; spin magnetization = 0.00 μB per atom
1.0
5.7172 0.0000 0.0000
-2.8586 6.0408 0.0000
0.0000 0.0000 10.7416
Tb Pr Ho
3 4 4
Direct
0.4114 0.8228 0.7126
0.2540 0.5079 0.0000
0.4114 0.8228 0.2874
0.7554 0.5108 0.7917
0.8809 0.7617 0.5000
0.7554 0.5108 0.2083
0.9605 0.9211 0.0000
0.6078 0.2156 0.5000
0.1043 0.2086 0.3039
0.5530 0.1061 0.0000
0.1043 0.2086 0.6961

---

Pick i): it beats the second-best structure by 13.1 kJ/mol of atoms.